No. 1
# LiCoMo2 | the Alexandria database | SCAN | single point on PBEsol structure
data_LiCoMo2
_cell_length_a 2.5935
_cell_length_b 3.9276
_cell_length_c 5.1333
_cell_angle_alpha 90.00
_cell_angle_beta 100.83
_cell_angle_gamma 90.00
_space_group_name_H-M_alt 'P 1'
_space_group_IT_number 1
_space_group_name_Hall 'P 1'
loop_
_atom_site_label
_atom_site_type_symbol
_atom_site_fract_x
_atom_site_fract_y
_atom_site_fract_z
Li1 Li 0.0000 0.0000 0.0000
Co1 Co 0.0000 0.0000 0.5000
Mo1 Mo 0.4959 0.5000 0.2498
Mo2 Mo 0.5041 0.5000 0.7502
# * spin magnetization: 0.000 μB per formula unit

=====

No. 2
# LiCoMo2 | the Alexandria database | SCAN | single point on PBEsol structure
data_LiCoMo2
_cell_length_a 2.5695
_cell_length_b 2.5695
_cell_length_c 8.4466
_cell_angle_alpha 90.00
_cell_angle_beta 90.00
_cell_angle_gamma 97.68
_space_group_name_H-M_alt 'P 1'
_space_group_IT_number 1
_space_group_name_Hall 'P 1'
loop_
_atom_site_label
_atom_site_type_symbol
_atom_site_fract_x
_atom_site_fract_y
_atom_site_fract_z
Li1 Li 0.0000 0.0000 0.0000
Co1 Co 0.0000 0.0000 0.5000
Mo1 Mo 0.5000 0.5000 0.2787
Mo2 Mo 0.5000 0.5000 0.7213
# * spin magnetization: 1.268 μB per formula unit

=====

No. 3
# Li2CoMo | the Alexandria database | SCAN | single point on PBEsol structure
data_Li2CoMo
_cell_length_a 2.5675
_cell_length_b 3.6518
_cell_length_c 5.7640
_cell_angle_alpha 90.00
_cell_angle_beta 90.00
_cell_angle_gamma 90.00
_space_group_name_H-M_alt 'P 1'
_space_group_IT_number 1
_space_group_name_Hall 'P 1'
loop_
_atom_site_label
_atom_site_type_symbol
_atom_site_fract_x
_atom_site_fract_y
_atom_site_fract_z
Li1 Li 0.0000 0.0000 0.0000
Li2 Li 0.5000 0.5000 0.2383
Co1 Co 0.5000 0.5000 0.7204
Mo1 Mo 0.0000 0.0000 0.5455
# * spin magnetization: 0.001 μB per formula unit

=====

Sequential formation enthalpy at 0 K output: 38.1, 37.6, 35.5 kJ per mole of atoms
Sequential E output: -87.89, -87.90, -55.50 eV/f.u.
Sequential polymorph energy (0 for the lowest one) output: 43.1, 38.5, 17.3 meV/atom